Entry 1:
VASP calculation (PBE) on a relaxed PuScNiPt crystal.

Cell lengths 4.753, 4.753, 4.753 Å; angles 60.00, 60.00, 60.00 degrees
Positions (direct):
1 Pu 0.000 0.000 0.000
2 Sc 0.500 0.500 0.500
3 Ni 0.750 0.750 0.750
4 Pt 0.250 0.250 0.250

Summary:
DFT formation energy: -2.19 eV/f.u.
space group: F-43m, No. 216

Entry 2:
VASP calculation (PBE) on a relaxed Pu2Si3NiPt12 crystal.

Cell lengths 7.663, 7.663, 7.663 Å; angles 64.01, 64.01, 64.01 degrees
Positions (direct):
1 Pu 0.120 0.120 0.120
2 Pu 0.880 0.880 0.880
3 Si 0.000 0.500 0.500
4 Si 0.500 0.000 0.500
5 Si 0.500 0.500 0.000
6 Ni 0.500 0.500 0.500
7 Pt 0.127 0.629 0.629
8 Pt 0.138 0.138 0.610
9 Pt 0.138 0.610 0.138
10 Pt 0.371 0.371 0.873
11 Pt 0.371 0.873 0.371
12 Pt 0.390 0.862 0.862
13 Pt 0.610 0.138 0.138
14 Pt 0.629 0.127 0.629
15 Pt 0.629 0.629 0.127
16 Pt 0.862 0.390 0.862
17 Pt 0.862 0.862 0.390
18 Pt 0.873 0.371 0.371

Summary:
space group: R-3m, No. 166
E_form (uncorrected): -0.363 eV/atom

Entry 3:
VASP calculation (PBE) on a relaxed Pu2Si4Ni3Pt crystal.

Cell lengths 4.010, 4.010, 9.712 Å; angles 90.00, 90.00, 90.00 degrees
Positions (direct):
1 Pu 0.000 0.500 0.241
2 Pu 0.500 0.000 0.759
3 Si 0.000 0.000 0.000
4 Si 0.000 0.500 0.643
5 Si 0.500 0.000 0.357
6 Si 0.500 0.500 0.000
7 Ni 0.000 0.500 0.880
8 Ni 0.500 0.000 0.120
9 Ni 0.500 0.500 0.500
10 Pt 0.000 0.000 0.500

Summary:
space group: P-4m2, No. 115
E_form (uncorrected): -0.719 eV/atom

Entry 4:
VASP calculation (PBE) on a relaxed Pu2Si3Ni4Pt crystal.

Cell lengths 3.820, 3.820, 10.558 Å; angles 90.00, 90.00, 90.00 degrees
Positions (direct):
1 Pu 0.000 0.500 0.247
2 Pu 0.500 0.000 0.753
3 Si 0.000 0.000 0.000
4 Si 0.000 0.500 0.623
5 Si 0.500 0.000 0.377
6 Ni 0.000 0.000 0.500
7 Ni 0.000 0.500 0.840
8 Ni 0.500 0.000 0.160
9 Ni 0.500 0.500 0.500
10 Pt 0.500 0.500 0.000

Summary:
space group: P-4m2, No. 115
E_form (uncorrected): -0.582 eV/atom

Entry 5:
VASP calculation (PBE) on a relaxed Pu2Si6NiPt crystal.

Cell lengths 12.706, 12.706, 12.706 Å; angles 26.55, 26.55, 26.55 degrees
Positions (direct):
1 Pu 0.126 0.126 0.126
2 Pu 0.278 0.278 0.278
3 Pu 0.722 0.722 0.722
4 Pu 0.874 0.874 0.874
5 Si 0.069 0.663 0.663
6 Si 0.188 0.188 0.776
7 Si 0.188 0.776 0.188
8 Si 0.224 0.812 0.812
9 Si 0.337 0.337 0.931
10 Si 0.337 0.931 0.337
11 Si 0.663 0.069 0.663
12 Si 0.663 0.663 0.069
13 Si 0.776 0.188 0.188
14 Si 0.812 0.224 0.812
15 Si 0.812 0.812 0.224
16 Si 0.931 0.337 0.337
17 Ni 0.000 0.000 0.000
18 Ni 0.500 0.500 0.500
19 Pt 0.423 0.423 0.423
20 Pt 0.577 0.577 0.577

Summary:
space group: R-3m, No. 166
E_form (uncorrected): -0.342 eV/atom

Entry 6:
VASP calculation (PBE) on a relaxed Pu2Si4NiPt3 crystal.

Cell lengths 4.183, 4.183, 9.832 Å; angles 90.00, 90.00, 90.00 degrees
Positions (direct):
1 Pu 0.000 0.500 0.249
2 Pu 0.500 0.000 0.751
3 Si 0.000 0.000 0.500
4 Si 0.000 0.500 0.873
5 Si 0.500 0.000 0.127
6 Si 0.500 0.500 0.500
7 Ni 0.500 0.500 0.000
8 Pt 0.000 0.000 0.000
9 Pt 0.000 0.500 0.626
10 Pt 0.500 0.000 0.374

Summary:
space group: P-4m2, No. 115
E_form (uncorrected): -0.833 eV/atom